(1)
# Pm5TmSc2

An optimized crystal structure of Pm5TmSc2 (PBE, Alexandria). Values from VASP.

Computed properties:
* E_form: 130.6 meV per atom

```
&SYSTEM
  ibrav = 0, nat = 16, ntyp = 3
/
ATOMIC_SPECIES
Pm 145.00 Pm.upf
Sc 44.96 Sc.upf
Tm 168.93 Tm.upf
CELL_PARAMETERS angstrom
-3.123 1.761 8.263
4.937 -6.768 3.309
3.850 6.443 -4.827
ATOMIC_POSITIONS angstrom
Pm -1.252 3.420 5.182
Sc 3.111 -5.158 5.754
Pm 6.916 -1.984 1.563
Pm 3.717 -1.373 0.223
Sc 0.520 -2.865 9.196
Pm 0.000 0.000 0.000
Pm 4.261 -2.877 3.699
Pm 0.907 -2.503 5.786
Pm 1.169 0.859 3.694
Sc -1.297 0.151 5.818
Pm 1.403 4.313 3.046
Tm 3.286 -0.534 6.265
Tm 2.379 1.970 0.479
Pm 1.948 2.810 6.521
Sc 1.294 -2.141 2.376
Pm 4.496 0.577 3.051
```


(2)
# PmTmSc2

An optimized crystal structure of PmTmSc2 (PBE, Alexandria). Values from VASP.

Computed properties:
* E_form: 62.6 meV per atom

```
&SYSTEM
  ibrav = 0, nat = 4, ntyp = 3
/
ATOMIC_SPECIES
Sc 44.96 Sc.upf
Pm 145.00 Pm.upf
Tm 168.93 Tm.upf
CELL_PARAMETERS angstrom
3.433 0.000 0.000
1.717 2.973 0.000
1.717 0.991 10.976
ATOMIC_POSITIONS angstrom
Sc 1.717 0.991 2.784
Pm 0.000 0.000 0.000
Tm 3.433 1.982 5.488
Sc 5.150 2.973 8.192
```


(3)
# PmTm7Sc3

An optimized crystal structure of PmTm7Sc3 (PBE, Alexandria). Values from VASP.

Computed properties:
* E_form: 227.1 meV per atom

```
&SYSTEM
  ibrav = 0, nat = 11, ntyp = 3
/
ATOMIC_SPECIES
Sc 44.96 Sc.upf
Tm 168.93 Tm.upf
Pm 145.00 Pm.upf
CELL_PARAMETERS angstrom
-7.655 -0.917 2.799
-0.652 -5.786 -3.681
2.393 -0.275 6.454
ATOMIC_POSITIONS angstrom
Sc -5.463 -6.629 1.743
Tm -3.643 -5.279 -0.697
Tm -0.514 -4.054 0.018
Tm 1.054 -1.299 5.055
Sc -5.139 -3.757 3.570
Tm -0.133 -1.163 1.852
Tm -2.457 -5.416 2.503
Tm -3.319 -2.411 1.128
Tm 0.730 -4.171 3.228
Pm -2.067 -2.525 4.335
Sc -6.327 -3.620 0.366
```


(4)
# Pm8Tm5Sc

An optimized crystal structure of Pm8Tm5Sc (PBE, Alexandria). Values from VASP.

Computed properties:
* E_form: 264.1 meV per atom

```
&SYSTEM
  ibrav = 0, nat = 14, ntyp = 3
/
ATOMIC_SPECIES
Tm 168.93 Tm.upf
Pm 145.00 Pm.upf
Sc 44.96 Sc.upf
CELL_PARAMETERS angstrom
8.072 -0.001 -2.566
-4.127 6.787 -2.950
0.181 0.001 8.468
ATOMIC_POSITIONS angstrom
Tm 3.890 4.687 1.967
Pm 1.787 4.103 -0.898
Tm -1.007 2.100 0.096
Tm 3.345 6.122 -3.366
Pm 4.929 1.772 0.228
Pm 1.720 1.841 2.023
Tm 2.021 0.665 7.205
Pm -2.318 5.014 1.641
Sc 0.091 3.394 4.235
Tm 4.126 0.000 2.951
Pm 3.853 2.684 4.933
Pm 7.228 0.643 2.905
Pm -1.656 4.946 -1.976
Pm 0.960 6.143 2.951
```


(5)
# Pm3Tm6Sc

An optimized crystal structure of Pm3Tm6Sc (PBE, Alexandria). Values from VASP.

Computed properties:
* E_form: 149.0 meV per atom

```
&SYSTEM
  ibrav = 0, nat = 20, ntyp = 3
/
ATOMIC_SPECIES
Pm 145.00 Pm.upf
Tm 168.93 Tm.upf
Sc 44.96 Sc.upf
CELL_PARAMETERS angstrom
6.160 0.000 0.000
0.000 10.710 -1.582
0.000 -3.932 10.087
ATOMIC_POSITIONS angstrom
Pm 0.399 1.764 5.548
Tm 0.248 5.192 5.100
Tm 3.327 3.813 6.199
Tm 5.361 4.766 -0.342
Pm 2.814 2.778 0.124
Tm 3.891 0.161 6.825
Tm 0.811 6.617 1.680
Tm 2.281 -1.397 4.570
Tm 0.248 2.965 2.306
Tm 5.654 -3.223 9.522
Pm 5.894 -0.499 2.735
Tm 3.327 1.586 3.405
Pm 3.479 5.014 2.958
Tm 2.574 10.001 -1.017
Pm 2.814 7.277 5.770
Pm 5.894 4.001 8.381
Tm 5.361 8.175 3.936
Sc 0.839 -0.906 7.676
Tm 2.281 2.012 8.847
Sc 3.919 7.685 0.829
```


(6)
# Pm2Tm6Sc

An optimized crystal structure of Pm2Tm6Sc (PBE, Alexandria). Values from VASP.

Computed properties:
* E_form: 124.5 meV per atom

```
&SYSTEM
  ibrav = 0, nat = 18, ntyp = 3
/
ATOMIC_SPECIES
Pm 145.00 Pm.upf
Tm 168.93 Tm.upf
Sc 44.96 Sc.upf
CELL_PARAMETERS angstrom
6.307 -0.946 -0.916
-0.158 9.387 -0.607
-0.158 -0.303 9.402
ATOMIC_POSITIONS angstrom
Pm 5.311 5.261 4.594
Tm 6.145 5.159 1.283
Pm 3.832 2.903 2.312
Tm 4.400 4.132 7.876
Tm 4.744 -0.341 3.546
Tm 5.047 1.268 -0.475
Sc 4.572 7.547 -0.126
Tm 2.992 1.923 5.572
Pm 2.158 5.235 5.567
Tm -0.155 2.980 6.596
Tm 0.944 6.870 8.354
Sc 1.418 0.592 8.005
Tm 1.893 0.040 1.741
Tm 2.998 6.216 2.306
Tm 4.097 8.099 6.138
Tm 1.590 4.006 0.003
Pm 0.679 2.878 3.285
Tm 1.246 8.479 4.333
```


(7)
# Pm4Tm6Sc

An optimized crystal structure of Pm4Tm6Sc (PBE, Alexandria). Values from VASP.

Computed properties:
* E_form: 78.1 meV per atom

```
&SYSTEM
  ibrav = 0, nat = 11, ntyp = 3
/
ATOMIC_SPECIES
Tm 168.93 Tm.upf
Pm 145.00 Pm.upf
Sc 44.96 Sc.upf
CELL_PARAMETERS angstrom
-2.565 1.416 -9.690
5.645 -5.649 5.602
-2.957 -3.955 7.282
ATOMIC_POSITIONS angstrom
Tm 1.407 -7.299 5.995
Tm -2.650 -1.204 -5.516
Pm 1.882 -8.887 9.491
Pm 0.907 -4.632 -1.107
Tm -1.855 -2.406 -2.195
Sc 4.995 -6.030 5.749
Tm -1.404 -3.428 1.201
Tm 0.292 -2.423 -4.814
Tm -1.415 -5.474 5.359
Pm 0.943 -5.715 2.715
Pm 1.938 -2.475 1.446
```


(8)
# Pm2TmSc3

An optimized crystal structure of Pm2TmSc3 (PBE, Alexandria). Values from VASP.

Computed properties:
* E_form: 79.1 meV per atom

```
&SYSTEM
  ibrav = 0, nat = 12, ntyp = 3
/
ATOMIC_SPECIES
Sc 44.96 Sc.upf
Tm 168.93 Tm.upf
Pm 145.00 Pm.upf
CELL_PARAMETERS angstrom
-1.830 -4.623 1.953
6.163 -1.743 -5.657
1.952 2.960 8.836
ATOMIC_POSITIONS angstrom
Sc 3.771 -0.371 2.656
Sc 1.507 -1.486 5.200
Tm 4.651 -2.778 5.087
Pm 5.496 -3.491 -3.116
Pm 2.149 -4.117 -0.428
Sc 4.778 -1.920 -0.069
Sc 2.513 -3.035 2.475
Pm 0.789 0.085 8.247
Sc 0.875 0.942 3.049
Sc 5.410 -4.348 2.082
Pm 4.136 0.711 5.559
Tm 1.634 -0.628 0.044
```